# 1
Density functional theory data (PBE) for an optimized crystal structure of V5CoPt4.

Calculated values
E_form = -0.47 eV/atom

Cell and atoms, written as POSCAR:
```
V5CoPt4
1.0
-0.174 -2.672 -0.239
0.483 -0.267 2.631
-18.764 0.907 3.537
V Pt Co
5 4 1
Cartesian
-5.368 -1.202 2.237 V
-1.498 -1.390 1.508 V
-13.086 -0.829 3.692 V
-9.227 -1.016 2.964 V
-16.957 -0.642 4.421 V
-11.308 0.547 2.132 Pt
-7.456 0.360 1.405 Pt
-15.145 0.732 2.855 Pt
-3.619 0.175 0.682 Pt
0.000 0.000 0.000 Co
```

# 2
Density functional theory data (PBE) for an optimized crystal structure of ZrVCoPt2.

Calculated values
E_form = 0.92 eV/atom

Cell and atoms, written as POSCAR:
```
ZrVCoPt2
1.0
-0.637 -3.742 2.523
4.225 -1.632 -1.354
1.943 2.073 3.565
Pt Zr Co V
2 1 1 1
Cartesian
0.971 1.036 1.782 Pt
-0.319 -1.871 1.262 Pt
2.112 -0.816 -0.677 Zr
2.765 -1.651 2.367 Co
0.000 0.000 0.000 V
```

For the records above, the corresponding magnetization values read 0.0, 0.0 μB per cell.